VASP calculation (PBE) on a geometry-optimized La3In2GaPd9 structure.

Computed properties:
- Uncorrected energy: -76.8 eV per cell
- Energy of formation: -0.450 eV per atom
- Density: 7.63 g/cm3

Lattice parameters (Å, degrees): 6.930 6.930 8.764 90.00 90.00 120.00
Fractional coordinates of all 15 atoms:
Pd 0.500 0.000 0.000
Pd 0.739 0.870 0.279
In 0.333 0.667 0.205
Ga 0.000 0.000 0.500
Pd 0.130 0.870 0.279
La 0.333 0.667 0.738
Pd 0.261 0.130 0.721
La 0.000 0.000 0.000
Pd 0.130 0.261 0.279
Pd 0.500 0.500 0.000
Pd 0.000 0.500 0.000
In 0.667 0.333 0.795
La 0.667 0.333 0.262
Pd 0.870 0.130 0.721
Pd 0.870 0.739 0.721